Entry from Alexandria: crystalline CaV2O4 at its relaxed geometry (GGA+U).

Summary:
total energy: -7.60 eV/atom
crystal system: tetragonal
theoretical density: 3.87 Mg/m³
polymorph energy (0 for the lowest one): 30 meV/atom

a = 6.1501 Å, b = 6.1501 Å, c = 9.3512 Å
α = 90.00°, β = 90.00°, γ = 90.00°
Space group I4_1/amd (No. 141, origin choice 2)
Unique sites:
Ca1 0.0000 0.2500 0.3750
V1 0.0000 0.0000 0.0000
O1 0.0000 0.0313 0.7723